CaMn2Se | GGA-PBEsol | relaxed

Output
Space group: P4/mmm, No. 123
Raw formation energy in eV per atom: 0.14

Cell: 3.929 3.929 5.078 Å, 90.00 90.00 90.00°
Fractional positions:
Ca  0.000  0.000  0.000
Mn  0.000  0.500  0.500
Mn  0.500  0.000  0.500
Se  0.500  0.500  0.000